Record 1
NbIrOs2 after structural relaxation, computed with GGA-PBE.

Geometry as POSCAR:
```
NbIrOs2
1.0
-3.243 -0.217 3.033
-1.596 3.730 1.819
-4.096 1.396 -1.021
Ir Os Nb
1 2 1
direct
0.500 0.500 0.500 Ir
0.250 0.250 0.250 Os
0.750 0.750 0.750 Os
0.000 0.000 0.000 Nb
```

- Energy of formation: 302 meV/atom
- Energy above the lowest structure with this stoichiometry: 560.2 meV per atom
- Space group: Fm-3m (225)



Record 2
In8HgPb2 after structural relaxation, computed with GGA-PBE.

Geometry as POSCAR:
```
In8HgPb2
1.0
-1.572 0.925 4.820
5.295 -4.033 2.501
4.273 7.384 -2.778
Hg Pb In
1 2 8
direct
0.500 0.000 0.000 Hg
0.226 0.640 0.452 Pb
0.774 0.360 0.548 Pb
0.960 0.275 0.920 In
0.040 0.725 0.080 In
0.675 0.901 0.350 In
0.325 0.099 0.650 In
0.138 0.169 0.275 In
0.587 0.443 0.175 In
0.862 0.831 0.725 In
0.413 0.557 0.825 In
```

- Energy of formation: 16 meV/atom
- Energy above the lowest structure with this stoichiometry: 0.0 meV per atom
- Space group: C2/m (12)



Record 3
BH2Au after structural relaxation, computed with GGA-PBE.

Geometry as POSCAR:
```
BH2Au
1.0
-2.548 3.834 -1.245
-3.009 -2.789 -2.432
-4.603 0.173 0.820
B Au H
2 2 4
direct
0.500 0.500 0.000 B
0.250 0.750 0.500 B
0.000 0.000 0.000 Au
0.750 0.250 0.500 Au
0.875 0.625 0.750 H
0.375 0.125 0.250 H
0.375 0.625 0.250 H
0.375 0.625 0.750 H
```

- Energy above the lowest structure with this stoichiometry: 0.0 meV per atom
- Space group: I4_1/amd (141)



Record 4
CsSiN2F after structural relaxation, computed with GGA-PBE.

Geometry as POSCAR:
```
CsSiN2F
1.0
4.395 0.000 0.000
0.000 4.395 0.000
0.000 0.000 4.948
F N Si Cs
1 2 1 1
direct
0.000 0.000 0.500 F
0.000 0.500 0.000 N
0.500 0.000 0.000 N
0.500 0.500 0.500 Si
0.000 0.000 0.000 Cs
```

- Formation energy without anion corrections: 1974.0 meV per atom
- Energy above the lowest structure with this stoichiometry: 2304.4 meV per atom
- Space group: P4/mmm (123)



Record 5
Cu2IrBr after structural relaxation, computed with GGA-PBE.

Geometry as POSCAR:
```
Cu2IrBr
1.0
3.224 0.000 0.000
0.000 3.223 0.000
0.000 0.000 6.136
Ir Cu Br
1 2 1
direct
0.500 0.500 0.250 Ir
0.000 0.000 0.041 Cu
0.000 0.000 0.459 Cu
0.500 0.500 0.750 Br
```

- Formation energy without anion corrections: 512.2 meV per atom
- Energy above the lowest structure with this stoichiometry: 114.1 meV per atom
- Space group: P4/mmm (123)



Record 6
Nb2InPN after structural relaxation, computed with GGA-PBE.

Geometry as POSCAR:
```
Nb2InPN
1.0
4.245 0.000 0.000
0.000 4.588 0.000
0.000 0.000 4.245
Nb In P N
2 1 1 1
direct
0.500 0.000 0.000 Nb
0.000 0.000 0.500 Nb
0.500 0.500 0.500 In
0.000 0.500 0.000 P
0.000 0.000 0.000 N
```

- Formation energy without anion corrections: 97.8 meV per atom
- Energy above the lowest structure with this stoichiometry: 0.0 meV per atom
- Space group: P4/mmm (123)



Record 7
Ba2AgRhO after structural relaxation, computed with GGA-PBE.

Geometry as POSCAR:
```
Ba2AgRhO
1.0
-4.006 4.638 -0.635
-2.757 -2.538 -1.148
-1.771 -0.727 5.857
Rh Ag Ba O
1 1 2 1
direct
0.000 0.000 0.000 Rh
0.500 0.500 0.500 Ag
0.500 0.000 0.000 Ba
0.000 0.000 0.500 Ba
0.000 0.500 0.000 O
```

- Formation energy without anion corrections: -465.7 meV per atom
- Space group: P4/mmm (123)



Record 8
Mn2FeCo after structural relaxation, computed with GGA-PBE.

Geometry as POSCAR:
```
Mn2FeCo
1.0
-4.187 -0.939 -0.135
2.000 -2.645 2.728
-0.416 1.591 1.847
Mn Co Fe
2 1 1
direct
0.500 0.500 0.000 Mn
0.000 0.000 0.000 Mn
0.500 0.000 0.500 Co
0.000 0.500 0.500 Fe
```

- Energy of formation: 56 meV/atom
- Energy above the lowest structure with this stoichiometry: 45.8 meV per atom
- Space group: Cmmm (65)



Record 9
H3Au2S4 after structural relaxation, computed with GGA-PBE.

Geometry as POSCAR:
```
H3Au2S4
1.0
6.570 -0.715 -1.985
-1.808 8.803 2.672
-1.591 2.881 8.380
S Au H
8 4 6
direct
0.428 0.173 0.068 S
0.572 0.827 0.932 S
0.963 0.855 0.906 S
0.055 0.407 0.403 S
0.504 0.305 0.405 S
0.496 0.695 0.595 S
0.945 0.593 0.597 S
0.037 0.145 0.094 S
0.106 0.286 0.263 Au
0.712 0.290 0.260 Au
0.894 0.714 0.737 Au
0.288 0.710 0.740 Au
0.561 0.479 0.356 H
0.999 0.702 0.090 H
0.001 0.298 0.910 H
0.567 0.004 0.793 H
0.439 0.521 0.644 H
0.433 0.996 0.207 H
```

- Space group: P-1 (2)
- Calculated total energy: -0.133 Ha/atom



Record 10
Pr2PuZn after structural relaxation, computed with GGA-PBE.

Geometry as POSCAR:
```
Pr2PuZn
1.0
-0.470 0.436 3.608
-2.854 -2.297 -0.094
5.297 -6.640 1.492
Pu Pr Zn
1 2 1
direct
0.500 0.500 0.500 Pu
0.000 0.000 0.786 Pr
0.000 0.000 0.214 Pr
0.500 0.500 0.000 Zn
```

- Energy of formation: -34 meV/atom
- Energy above the lowest structure with this stoichiometry: 0.0 meV per atom
- Space group: P4/mmm (123)



Record 11
RbNaBO2 after structural relaxation, computed with GGA-PBE.

Geometry as POSCAR:
```
RbNaBO2
1.0
-2.142 1.954 4.617
-3.709 -6.796 1.156
3.546 -5.000 3.761
Na Rb B O
2 2 2 4
direct
0.501 0.000 0.750 Na
0.499 0.000 0.250 Na
0.777 0.500 0.250 Rb
0.223 0.500 0.750 Rb
0.000 0.000 0.000 B
0.000 0.000 0.500 B
0.783 0.068 0.467 O
0.217 0.068 0.967 O
0.217 0.932 0.533 O
0.783 0.932 0.033 O
```

- Formation energy without anion corrections: -1651.0 meV per atom
- Energy above the lowest structure with this stoichiometry: 0.0 meV per atom
- Space group: P2/c (13)



Record 12
Ca3Zn2Ag after structural relaxation, computed with GGA-PBE.

Geometry as POSCAR:
```
Ca3Zn2Ag
1.0
-0.246 -0.017 -3.651
-1.738 -3.217 0.132
-9.854 5.351 0.640
Ag Zn Ca
1 2 3
direct
0.500 0.500 0.500 Ag
0.500 0.500 0.166 Zn
0.500 0.500 0.834 Zn
0.000 0.000 0.670 Ca
0.000 0.000 0.000 Ca
0.000 0.000 0.330 Ca
```

- Energy of formation: -265 meV/atom
- Space group: P4/mmm (123)